[1]
Compound: HoRuC2
Source: Alexandria
Functional: GGA-PBE
Structure: relaxed

Lattice parameters (Å, degrees): 5.550 5.550 5.550 34.41 34.41 34.41
Fractional positions:
Ho 0.000 0.000 0.000
Ru 0.500 0.500 0.500
C 0.235 0.235 0.235
C 0.765 0.765 0.765

Calculated values
- energy (eV per atom) = -7.88
- E_form (meV/atom) = 199
- total magnetization (μB/atom) = 0.000
- symmetry = R-3m, No. 166

[2]
Compound: Pm4GaCCl2
Source: Alexandria
Functional: GGA-PBE
Structure: relaxed

Lattice parameters (Å, degrees): 7.191 3.856 7.418 90.00 107.78 90.00
Fractional positions:
Pm 0.209 0.000 0.197
Pm 0.225 0.500 0.781
Pm 0.775 0.500 0.219
Pm 0.791 0.000 0.803
Ga 0.500 0.000 0.000
C 0.000 0.500 0.000
Cl 0.000 0.000 0.500
Cl 0.500 0.500 0.500

Calculated values
- energy (eV per atom) = -5.34
- formation energy from raw total energies (eV per atom) = -0.9716
- total magnetization (μB/atom) = 0.000
- symmetry = P2/m, No. 10

[3]
Compound: Nd2GaBPd6
Source: Alexandria
Functional: GGA-PBE
Structure: relaxed

Lattice parameters (Å, degrees): 5.760 8.769 7.299 90.00 90.00 90.00
Fractional positions:
Nd 0.250 0.033 0.214
Nd 0.250 0.467 0.214
Nd 0.750 0.533 0.786
Nd 0.750 0.967 0.786
Ga 0.250 0.750 0.823
Ga 0.750 0.250 0.177
B 0.250 0.250 0.685
B 0.750 0.750 0.315
Pd 0.005 0.250 0.897
Pd 0.012 0.750 0.514
Pd 0.250 0.009 0.652
Pd 0.250 0.491 0.652
Pd 0.488 0.750 0.514
Pd 0.495 0.250 0.897
Pd 0.505 0.750 0.103
Pd 0.512 0.250 0.486
Pd 0.750 0.509 0.348
Pd 0.750 0.991 0.348
Pd 0.988 0.250 0.486
Pd 0.995 0.750 0.103

Calculated values
- energy (eV per atom) = -5.74
- E_form (meV/atom) = -700
- total magnetization (μB/atom) = 0.000
- symmetry = Pmmn, No. 59

[4]
Compound: NiRhCl6
Source: Alexandria
Functional: GGA-PBE
Structure: relaxed

Lattice parameters (Å, degrees): 6.388 6.388 6.198 101.44 101.44 122.01
Fractional positions:
Ni 0.000 0.000 0.000
Rh 0.500 0.500 0.500
Cl 0.095 0.369 0.234
Cl 0.277 0.277 0.726
Cl 0.369 0.095 0.234
Cl 0.631 0.905 0.766
Cl 0.723 0.723 0.274
Cl 0.905 0.631 0.766

Calculated values
- energy (eV per atom) = -3.48
- formation energy from raw total energies (eV per atom) = -0.4508
- total magnetization (μB/atom) = 0.065
- symmetry = C2/m, No. 12

[5]
Compound: MoIr2Ru
Source: Alexandria
Functional: GGA-PBE
Structure: relaxed

Lattice parameters (Å, degrees): 2.745 2.745 7.815 90.00 90.00 90.00
Fractional positions:
Mo 0.000 0.000 0.000
Ir 0.000 0.000 0.496
Ir 0.500 0.500 0.756
Ru 0.500 0.500 0.260

Calculated values
- energy (eV per atom) = -9.52
- E_form (meV/atom) = -58
- total magnetization (μB/atom) = 0.000
- symmetry = P4mm, No. 99

[6]
Compound: Sr3PrPd8
Source: Alexandria
Functional: GGA-PBE
Structure: relaxed

Lattice parameters (Å, degrees): 9.660 9.660 9.660 33.75 33.75 33.75
Fractional positions:
Sr 0.000 0.000 0.000
Sr 0.124 0.124 0.124
Sr 0.627 0.627 0.627
Pr 0.501 0.501 0.501
Pd 0.063 0.063 0.560
Pd 0.063 0.560 0.063
Pd 0.067 0.564 0.564
Pd 0.313 0.313 0.313
Pd 0.560 0.063 0.063
Pd 0.564 0.067 0.564
Pd 0.564 0.564 0.067
Pd 0.813 0.813 0.813

Calculated values
- energy (eV per atom) = -4.93
- E_form (meV/atom) = -654
- total magnetization (μB/atom) = 0.000
- symmetry = R3m, No. 160

[7]
Compound: CsYIr3
Source: Alexandria
Functional: GGA-PBE
Structure: relaxed

Lattice parameters (Å, degrees): 4.990 4.990 4.990 90.00 90.00 90.00
Fractional positions:
Cs 0.000 0.000 0.000
Y 0.500 0.500 0.500
Ir 0.000 0.000 0.500
Ir 0.000 0.500 0.000
Ir 0.500 0.000 0.000

Calculated values
- energy (eV per atom) = -4.66
- E_form (meV/atom) = 2115
- total magnetization (μB/atom) = 0.000
- symmetry = Pm-3m, No. 221

[8]
Compound: Na3MnZn
Source: Alexandria
Functional: GGA-PBE
Structure: relaxed

Lattice parameters (Å, degrees): 5.808 5.808 5.808 90.00 90.00 90.00
Fractional positions:
Na 0.000 0.000 0.500
Na 0.000 0.500 0.000
Na 0.500 0.000 0.000
Mn 0.000 0.000 0.000
Zn 0.500 0.500 0.500

Calculated values
- energy (eV per atom) = -2.06
- E_form (meV/atom) = 824
- total magnetization (μB/atom) = 0.924
- symmetry = Pm-3m, No. 221